No. 1
First-principles (PBE) data for a geometry-optimized CdBiMo2 structure, as listed in Alexandria.

Geometry as extended XYZ:
```
4
Lattice="-1.3679 2.5767 3.7489 -4.1489 2.3113 -0.0930 -3.6063 -1.4830 2.7129" Properties=species:S:1:pos:R:3 pbc="T T T"
Mo -2.2808 0.8513 1.5922
Mo -6.8424 2.5538 4.7765
Bi -4.5616 1.7025 3.1844
Cd 0.0000 0.0000 0.0000
```

Results
energy relative to the elements	3.238	eV/f.u.
magnetic moment	0.0	μB/cell
volume	18.948	Å³ per atom
polymorph energy (0 for the lowest one)	0	meV/atom

---

No. 2
First-principles (PBE) data for a geometry-optimized CuAs3Se4 structure, as listed in Alexandria.

Geometry as extended XYZ:
```
16
Lattice="-2.7398 3.2252 3.9340 -5.3476 -0.3326 -3.4516 -2.9403 -9.1273 5.4349" Properties=species:S:1:pos:R:3 pbc="T T T"
Cu -1.2248 -0.0606 -0.7643
Cu -6.9880 -3.1934 2.0334
As -6.4154 1.4135 -1.0970
As -4.5838 -2.4647 -0.9425
As -3.7519 -0.6447 2.3879
As -1.9574 -4.4792 2.5957
As -5.2452 -5.2802 5.1482
As -6.0308 -6.9564 1.7322
Se -4.9609 0.1210 -2.4807
Se -3.2632 1.8241 1.2979
Se -2.6446 -1.7018 0.3993
Se -6.0893 -0.9388 1.6178
Se -5.4558 -4.4822 0.6979
Se -3.9199 -2.5887 4.7089
Se -7.3226 -4.7672 3.8975
Se -4.3516 -7.0007 3.5546
```

Results
uncorrected energy	-63.4	eV/cell
magnetic moment	0.0	μB/cell
volume	25.369	Å³ per atom

---

No. 3
First-principles (PBE) data for a geometry-optimized ThNi5Ge2Rh structure, as listed in Alexandria.

Geometry as extended XYZ:
```
9
Lattice="3.7911 0.0000 0.0000 0.0000 3.7911 0.0000 0.0000 0.0000 9.2307" Properties=species:S:1:pos:R:3 pbc="T T T"
Th 0.0000 0.0000 4.6153
Ni 0.0000 1.8955 2.5560
Ni 1.8955 0.0000 2.5560
Ni 0.0000 1.8955 6.6747
Ni 1.8955 0.0000 6.6747
Ni 1.8955 1.8955 4.6153
Ge 1.8955 1.8955 1.1836
Ge 1.8955 1.8955 8.0471
Rh 0.0000 0.0000 0.0000
```

Results
energy relative to the elements	-1.405	eV/f.u.
magnetic moment	0.0	μB/cell
volume	14.741	Å³ per atom

---

Question: magnetic moment of number 2 (CuAs3Se4)?
Answer: 0.0 μB/cell

---

What did the third record say?
First-principles (PBE) data for a geometry-optimized ThNi5Ge2Rh structure, as listed in Alexandria.

Geometry as extended XYZ:
```
9
Lattice="3.7911 0.0000 0.0000 0.0000 3.7911 0.0000 0.0000 0.0000 9.2307" Properties=species:S:1:pos:R:3 pbc="T T T"
Th 0.0000 0.0000 4.6153
Ni 0.0000 1.8955 2.5560
Ni 1.8955 0.0000 2.5560
Ni 0.0000 1.8955 6.6747
Ni 1.8955 0.0000 6.6747
Ni 1.8955 1.8955 4.6153
Ge 1.8955 1.8955 1.1836
Ge 1.8955 1.8955 8.0471
Rh 0.0000 0.0000 0.0000
```

Results
energy relative to the elements	-1.405	eV/f.u.
magnetic moment	0.0	μB/cell
volume	14.741	Å³ per atom

---

Please write out number 2 again, unchanged.
First-principles (PBE) data for a geometry-optimized CuAs3Se4 structure, as listed in Alexandria.

Geometry as extended XYZ:
```
16
Lattice="-2.7398 3.2252 3.9340 -5.3476 -0.3326 -3.4516 -2.9403 -9.1273 5.4349" Properties=species:S:1:pos:R:3 pbc="T T T"
Cu -1.2248 -0.0606 -0.7643
Cu -6.9880 -3.1934 2.0334
As -6.4154 1.4135 -1.0970
As -4.5838 -2.4647 -0.9425
As -3.7519 -0.6447 2.3879
As -1.9574 -4.4792 2.5957
As -5.2452 -5.2802 5.1482
As -6.0308 -6.9564 1.7322
Se -4.9609 0.1210 -2.4807
Se -3.2632 1.8241 1.2979
Se -2.6446 -1.7018 0.3993
Se -6.0893 -0.9388 1.6178
Se -5.4558 -4.4822 0.6979
Se -3.9199 -2.5887 4.7089
Se -7.3226 -4.7672 3.8975
Se -4.3516 -7.0007 3.5546
```

Results
uncorrected energy	-63.4	eV/cell
magnetic moment	0.0	μB/cell
volume	25.369	Å³ per atom

---

Repeat the third record exactly.
First-principles (PBE) data for a geometry-optimized ThNi5Ge2Rh structure, as listed in Alexandria.

Geometry as extended XYZ:
```
9
Lattice="3.7911 0.0000 0.0000 0.0000 3.7911 0.0000 0.0000 0.0000 9.2307" Properties=species:S:1:pos:R:3 pbc="T T T"
Th 0.0000 0.0000 4.6153
Ni 0.0000 1.8955 2.5560
Ni 1.8955 0.0000 2.5560
Ni 0.0000 1.8955 6.6747
Ni 1.8955 0.0000 6.6747
Ni 1.8955 1.8955 4.6153
Ge 1.8955 1.8955 1.1836
Ge 1.8955 1.8955 8.0471
Rh 0.0000 0.0000 0.0000
```

Results
energy relative to the elements	-1.405	eV/f.u.
magnetic moment	0.0	μB/cell
volume	14.741	Å³ per atom